## SbC5 (SCAN)

Data for a PBEsol-optimized structure of SbC5.

Structure (POSCAR):
```
SbC5
1.0
3.295 0.000 0.000
0.000 3.295 0.000
0.000 0.000 5.926
C Sb
5 1
direct
0.000 0.000 0.273 C
0.000 0.000 0.727 C
0.500 0.500 0.613 C
0.500 0.500 0.387 C
0.000 0.000 0.500 C
0.500 0.500 0.000 Sb
```

Raw formation energy = 2.544 eV/atom
SG = P4/mmm
Total magnetic moment = 0.00 Bohr magnetons per cell